[1]
VASP calculation (PBE-GGA) on an optimized crystal structure of LuBeRh3.

## Properties
formation energy from the elements	-0.602	eV/atom
space group	No. 221

Geometry as POSCAR:
```
LuBeRh3
1.0
4.220 0.000 0.000
0.000 4.220 0.000
0.000 0.000 4.220
Be Lu Rh
1 1 3
Direct
0.000 0.000 0.000
0.500 0.500 0.500
0.000 0.500 0.000
0.000 0.000 0.500
0.500 0.000 0.000
```

---

[2]
VASP calculation (PBE-GGA) on an optimized crystal structure of LaCuSi2.

## Properties
space group	No. 123
energy relative to the elements, uncorrected	-0.146	eV/atom

Geometry as POSCAR:
```
LaCuSi2
1.0
3.363 0.000 0.000
0.000 3.363 0.000
0.000 0.000 6.641
Cu La Si
1 1 2
Direct
0.500 0.500 0.250
0.500 0.500 0.750
0.000 0.000 0.074
0.000 0.000 0.426
```

---

[3]
VASP calculation (PBE-GGA) on an optimized crystal structure of SmDy2Er6.

## Properties
formation energy from the elements	0.074	eV/atom
space group	No. 12
ΔE to the lowest computed polymorph	0.000	eV per atom

Geometry as POSCAR:
```
SmDy2Er6
1.0
3.373 -0.682 -0.141
0.997 5.262 -1.579
-3.514 -3.303 16.390
Sm Dy Er
1 2 6
Direct
0.500 0.500 0.500
0.835 0.501 0.834
0.165 0.499 0.166
0.446 0.168 0.945
0.554 0.832 0.055
0.775 0.164 0.276
0.113 0.169 0.612
0.225 0.836 0.724
0.887 0.831 0.388
```

---

[4]
VASP calculation (PBE-GGA) on an optimized crystal structure of TaSi3W.

## Properties
space group	No. 221
ΔE to the lowest computed polymorph	0.000	eV per atom
energy relative to the elements, uncorrected	1.276	eV/atom

Geometry as POSCAR:
```
TaSi3W
1.0
4.642 0.000 0.000
0.000 4.642 0.000
0.000 0.000 4.642
Si W Ta
3 1 1
Direct
0.000 0.500 0.000
0.000 0.000 0.500
0.500 0.000 0.000
0.000 0.000 0.000
0.500 0.500 0.500
```

---

[5]
VASP calculation (PBE-GGA) on an optimized crystal structure of Ac8ZnPt2.

## Properties
formation energy from the elements	-0.348	eV/atom
space group	No. 8

Geometry as POSCAR:
```
Ac8ZnPt2
1.0
6.447 0.215 -0.984
-2.024 7.550 -3.315
0.038 -0.235 8.487
Ac Zn Pt
8 1 2
Direct
0.580 0.345 0.085
0.580 0.085 0.345
0.184 0.380 0.380
0.985 0.224 0.770
0.985 0.770 0.224
0.798 0.636 0.636
0.377 0.920 0.658
0.377 0.658 0.920
0.150 0.007 0.007
0.492 0.703 0.306
0.492 0.306 0.703
```

---

[6]
VASP calculation (PBE-GGA) on an optimized crystal structure of LaY2TeAu.

## Properties
space group	No. 123
energy relative to the elements, uncorrected	-0.034	eV/atom

Geometry as POSCAR:
```
LaY2TeAu
1.0
-1.238 4.547 -3.208
-3.402 -2.912 -2.814
-4.186 1.405 3.607
Y Te Au La
2 1 1 1
Direct
0.000 0.000 0.500
0.500 0.000 0.000
0.000 0.000 0.000
0.000 0.500 0.000
0.500 0.500 0.500
```

---

[7]
VASP calculation (PBE-GGA) on an optimized crystal structure of TlPd4Pt2.

## Properties
formation energy from the elements	-0.079	eV/atom
space group	No. 1
ΔE to the lowest computed polymorph	0.036	eV per atom

Geometry as POSCAR:
```
TlPd4Pt2
1.0
6.942 0.177 0.726
-0.212 5.667 0.676
-2.809 -2.273 5.255
Tl Pd Pt
2 8 4
Direct
0.305 0.792 0.484
0.156 0.954 0.019
0.871 0.236 0.170
0.158 0.454 0.033
0.012 0.583 0.601
0.731 0.875 0.746
0.307 0.294 0.467
0.451 0.167 0.899
0.457 0.656 0.909
0.873 0.733 0.176
0.733 0.375 0.749
0.595 0.020 0.325
0.591 0.512 0.327
0.010 0.099 0.594
```

---

[8]
VASP calculation (PBE-GGA) on an optimized crystal structure of Sc2Ni.

## Properties
formation energy from the elements	-0.356	eV/atom
space group	No. 227

Geometry as POSCAR:
```
Sc2Ni
1.0
-3.860 -0.529 7.631
2.830 -5.579 5.854
4.687 6.899 -1.961
Ni Sc
8 16
Direct
0.712 0.865 0.288
0.712 0.212 0.635
0.365 0.212 0.288
0.712 0.212 0.288
0.288 0.135 0.712
0.288 0.788 0.365
0.635 0.788 0.712
0.288 0.788 0.712
0.500 0.000 0.500
0.000 0.000 0.500
0.500 0.000 0.000
0.500 0.500 0.500
0.939 0.811 0.689
0.311 0.811 0.061
0.939 0.811 0.061
0.311 0.439 0.689
0.939 0.439 0.689
0.311 0.439 0.061
0.061 0.189 0.311
0.689 0.189 0.939
0.061 0.189 0.939
0.689 0.561 0.311
0.061 0.561 0.311
0.689 0.561 0.939
```

---

[9]
VASP calculation (PBE-GGA) on an optimized crystal structure of Pm3NdS4.

## Properties
space group	No. 221
ΔE to the lowest computed polymorph	0.013	eV per atom
energy relative to the elements, uncorrected	-2.022	eV/atom

Geometry as POSCAR:
```
Pm3NdS4
1.0
-1.157 4.583 -3.217
1.664 -2.855 -4.666
-5.347 -1.880 -0.756
Pm Nd S
3 1 4
Direct
0.000 0.500 0.500
0.500 0.000 0.500
0.500 0.500 0.000
0.000 0.000 0.000
0.500 0.000 0.000
0.000 0.500 0.000
0.000 0.000 0.500
0.500 0.500 0.500
```

---

[10]
VASP calculation (PBE-GGA) on an optimized crystal structure of CaPr8.

## Properties
formation energy from the elements	0.026	eV/atom
space group	No. 139
ΔE to the lowest computed polymorph	0.000	eV per atom

Geometry as POSCAR:
```
CaPr8
1.0
5.299 0.000 0.000
2.650 7.895 0.000
2.650 0.000 7.895
Ca Pr
1 8
Direct
0.000 0.000 0.000
0.329 0.000 0.343
0.671 0.000 0.657
0.664 0.336 0.336
0.329 0.343 0.000
0.000 0.336 0.664
0.671 0.657 0.000
0.336 0.664 0.664
0.000 0.664 0.336
```

---

[11]
VASP calculation (PBE-GGA) on an optimized crystal structure of TcRu2Pb.

## Properties
formation energy from the elements	0.485	eV/atom
space group	No. 8

Geometry as POSCAR:
```
TcRu2Pb
1.0
4.846 -0.007 0.029
3.927 2.839 0.029
0.968 0.312 4.842
Pb Ru Tc
1 2 1
Direct
0.750 0.750 0.767
0.990 0.990 0.018
0.247 0.247 0.281
0.513 0.513 0.435
```

---

[12]
VASP calculation (PBE-GGA) on an optimized crystal structure of Na4Tb3BiO8.

## Properties
space group	No. 166
energy relative to the elements, uncorrected	-2.420	eV/atom

Geometry as POSCAR:
```
Na4Tb3BiO8
1.0
-5.695 -2.551 -3.053
2.337 -6.420 1.005
-0.598 4.380 5.360
Na Tb Bi O
4 3 1 8
Direct
0.500 0.000 0.000
0.500 0.000 0.500
0.000 0.000 0.000
0.000 0.000 0.500
0.500 0.500 0.000
0.500 0.500 0.500
0.000 0.500 0.500
0.000 0.500 0.000
0.244 0.718 0.973
0.244 0.718 0.489
0.264 0.290 0.527
0.728 0.718 0.973
0.272 0.282 0.027
0.736 0.710 0.473
0.756 0.282 0.511
0.756 0.282 0.027
```

---

[13]
VASP calculation (PBE-GGA) on an optimized crystal structure of BaSmBi.

## Properties
formation energy from the elements	-0.434	eV/atom
space group	No. 187
ΔE to the lowest computed polymorph	0.000	eV per atom

Geometry as POSCAR:
```
BaSmBi
1.0
4.850 0.000 0.000
0.000 5.414 0.000
0.000 -2.707 4.688
Bi Sm Ba
1 1 1
Direct
0.166 0.000 0.000
0.167 0.333 0.667
0.667 0.667 0.333
```

---

[14]
VASP calculation (PBE-GGA) on an optimized crystal structure of NbCI3.

## Properties
space group	No. 221
ΔE to the lowest computed polymorph	0.000	eV per atom
energy relative to the elements, uncorrected	1.387	eV/atom

Geometry as POSCAR:
```
NbCI3
1.0
5.565 0.000 0.000
0.000 5.565 0.000
0.000 0.000 5.565
I Nb C
3 1 1
Direct
0.000 0.500 0.000
0.000 0.000 0.500
0.500 0.000 0.000
0.000 0.000 0.000
0.500 0.500 0.500
```

---

[15]
VASP calculation (PBE-GGA) on an optimized crystal structure of TcIr2Ru.

## Properties
formation energy from the elements	-0.101	eV/atom
space group	No. 139
ΔE to the lowest computed polymorph	0.067	eV per atom

Geometry as POSCAR:
```
TcIr2Ru
1.0
-2.191 -1.364 -3.967
2.971 -2.515 -2.691
-1.204 -0.344 4.564
Ru Ir Tc
1 2 1
Direct
0.750 0.250 0.500
0.000 0.000 0.000
0.500 0.500 0.000
0.250 0.750 0.500
```

---

[16]
VASP calculation (PBE-GGA) on an optimized crystal structure of SbP2AuCl.

## Properties
space group	No. 123
ΔE to the lowest computed polymorph	0.000	eV per atom
energy relative to the elements, uncorrected	0.712	eV/atom

Geometry as POSCAR:
```
SbP2AuCl
1.0
4.891 0.000 0.000
0.000 4.891 0.000
0.000 0.000 4.829
Sb Au P Cl
1 1 2 1
Direct
0.500 0.500 0.500
0.000 0.000 0.000
0.000 0.500 0.000
0.500 0.000 0.000
0.000 0.000 0.500
```

---

[17]
VASP calculation (PBE-GGA) on an optimized crystal structure of Rb3Pm2YS6.

## Properties
space group	No. 12
energy relative to the elements, uncorrected	-1.841	eV/atom

Geometry as POSCAR:
```
Rb3Pm2YS6
1.0
7.200 -0.001 0.000
-3.599 6.236 0.000
-1.201 -2.080 7.707
Rb Pm Y S
3 2 1 6
Direct
0.167 0.833 0.500
0.833 0.167 0.500
0.500 0.500 0.500
0.333 0.667 0.000
0.667 0.333 0.000
0.000 0.000 0.000
0.935 0.608 0.805
0.738 0.738 0.195
0.065 0.392 0.195
0.608 0.935 0.805
0.262 0.262 0.805
0.392 0.065 0.195
```

---

[18]
VASP calculation (PBE-GGA) on an optimized crystal structure of BaSb2PdRh.

## Properties
space group	No. 119
energy relative to the elements, uncorrected	-0.709	eV/atom

Geometry as POSCAR:
```
BaSb2PdRh
1.0
-2.186 -2.676 -3.198
-1.068 -3.131 3.350
-3.264 5.670 0.951
Ba Sb Pd Rh
1 2 1 1
Direct
0.000 0.000 0.000
0.640 0.640 0.281
0.360 0.360 0.719
0.250 0.750 0.500
0.750 0.250 0.500
```

---

[19]
VASP calculation (PBE-GGA) on an optimized crystal structure of UP2Pd4.

## Properties
formation energy from the elements	-0.606	eV/atom
space group	No. 136

Geometry as POSCAR:
```
UP2Pd4
1.0
3.866 0.000 0.000
0.000 7.651 0.000
0.000 0.000 7.651
U P Pd
2 4 8
Direct
0.500 0.000 0.000
0.000 0.500 0.500
0.000 0.215 0.785
0.000 0.785 0.215
0.500 0.715 0.715
0.500 0.285 0.285
0.000 0.087 0.332
0.000 0.913 0.668
0.500 0.168 0.587
0.500 0.832 0.413
0.500 0.413 0.832
0.500 0.587 0.168
0.000 0.332 0.087
0.000 0.668 0.913
```

---

[20]
VASP calculation (PBE-GGA) on an optimized crystal structure of SrTiO.

## Properties
space group	No. 10
ΔE to the lowest computed polymorph	0.211	eV per atom
energy relative to the elements, uncorrected	-1.377	eV/atom

Geometry as POSCAR:
```
SrTiO
1.0
-0.024 1.184 5.550
0.235 -3.289 0.703
6.184 0.237 -0.955
Sr Ti O
2 2 2
Direct
0.216 0.000 0.310
0.784 0.000 0.690
0.696 0.500 0.128
0.304 0.500 0.872
0.500 0.000 0.000
0.000 0.500 0.000
```